1.
# PBE-GGA Mg2AgBr, optimized geometry
data_Mg2AgBr
_chemical_formula_sum 'Mg2 Ag1 Br1'
_cell_length_a 5.227
_cell_length_b 5.227
_cell_length_c 3.293
_cell_angle_alpha 90.00
_cell_angle_beta 90.00
_cell_angle_gamma 104.62
_symmetry_space_group_name_H-M 'P 1'
_symmetry_Int_Tables_number 1
_symmetry_space_group_name_Hall 'P 1'
loop_
_atom_site_label
_atom_site_type_symbol
_atom_site_fract_x
_atom_site_fract_y
_atom_site_fract_z
Ag1 Ag 0.500 0.000 0.500
Br1 Br 0.000 0.500 0.500
Mg1 Mg 0.000 0.000 0.000
Mg2 Mg 0.500 0.500 0.000
# Formation energy from raw total energies ... -0.236 eV/atom
# Energy ... -8.66 eV/f.u.
# Energy above the lowest structure with this stoichiometry ... 219 meV per atom
# DOS(E_F) ... 0.325 states/eV per atom


2.
# PBE-GGA CuHg2Br, optimized geometry
data_CuHg2Br
_chemical_formula_sum 'Cu1 Hg2 Br1'
_cell_length_a 3.616
_cell_length_b 3.616
_cell_length_c 9.366
_cell_angle_alpha 90.00
_cell_angle_beta 90.00
_cell_angle_gamma 90.00
_symmetry_space_group_name_H-M 'P 1'
_symmetry_Int_Tables_number 1
_symmetry_space_group_name_Hall 'P 1'
loop_
_atom_site_label
_atom_site_type_symbol
_atom_site_fract_x
_atom_site_fract_y
_atom_site_fract_z
Br1 Br 0.000 0.000 0.618
Cu1 Cu 0.500 0.500 0.569
Hg1 Hg 0.000 0.000 0.029
Hg2 Hg 0.500 0.500 0.283
# Formation energy from raw total energies ... -0.029 eV/atom
# Energy ... -6.49 eV/f.u.
# Energy above the lowest structure with this stoichiometry ... 64 meV per atom
# DOS(E_F) ... 0.089 states/eV per atom